(A)
This record from Alexandria describes SmPu2Fe after structural relaxation. The functional is PBE-GGA.

Computed properties:
density = 12.729 Mg/m³
calculated volume = 22.640 A^3/atom

```
SmPu2Fe
1.0
-4.105 -0.961 0.996
-0.978 -3.892 1.632
-0.903 0.345 6.031
Fe Sm Pu
1 1 2
Cartesian
0.000 0.000 0.000
-2.993 -2.254 4.330
-1.649 -1.505 1.172
-4.337 -3.003 7.488
```



(B)
This record from Alexandria describes SmPu2Fe after structural relaxation. The functional is PBE-GGA.

Computed properties:
density = 11.921 Mg/m³
calculated volume = 24.176 A^3/atom

```
SmPu2Fe
1.0
3.335 0.000 0.000
0.000 3.335 0.000
0.000 0.000 8.697
Fe Sm Pu
1 1 2
Cartesian
1.667 1.667 0.000
1.667 1.667 4.348
0.000 0.000 7.065
0.000 0.000 1.632
```



The data favor (B); the next most stable structure lies 392 meV per atom above it.



(A)
This record from Alexandria describes Tb2PuFe after structural relaxation. The functional is PBE-GGA.

Computed properties:
density = 9.876 Mg/m³
calculated volume = 25.964 A^3/atom

```
Tb2PuFe
1.0
3.519 0.000 0.000
1.760 3.048 0.000
1.760 1.016 9.683
Tb Fe Pu
2 1 1
Cartesian
1.760 1.016 3.011
5.279 3.048 6.671
3.519 2.032 4.841
0.000 0.000 0.000
```



(B)
This record from Alexandria describes Tb2PuFe after structural relaxation. The functional is PBE-GGA.

Computed properties:
density = 10.290 Mg/m³
calculated volume = 24.921 A^3/atom

```
Tb2PuFe
1.0
-2.332 -2.460 -0.278
2.261 -1.960 -1.617
2.556 -3.278 7.550
Tb Fe Pu
2 1 1
Cartesian
2.067 -2.650 6.105
0.489 -0.627 1.445
-0.036 -2.210 -0.947
1.242 -3.849 2.827
```



The data favor (B); the next most stable structure lies 167 meV per atom above it.